# AlSe

Crystalline AlSe at its relaxed geometry (PBE-GGA, Alexandria).

Values from the calculation:
DOS(E_F), states/eV/atom: 0.6482
SG: Fd-3m
Raw total energy, eV per atom: -3.330
Formation energy from raw total energies, eV per atom: 0.283

extended XYZ file:
```
4
Lattice="4.817 0.000 0.000 2.408 4.172 0.000 2.408 1.391 3.933" Properties=species:S:1:pos:R:3 pbc="T T T"
Se 4.817 2.781 1.966
Se 2.408 1.391 0.983
Al 0.000 0.000 0.000
Al 7.225 4.172 2.950
```

---

# MnAl3Rh

Crystalline MnAl3Rh at its relaxed geometry (PBE-GGA, Alexandria).

Values from the calculation:
DOS(E_F), states/eV/atom: 0.5307
SG: Pm-3m
Energy relative to the lowest polymorph listed for this composition, meV/atom: 0
Raw total energy, eV per atom: -5.431
Energy of formation, eV per atom: 0.12

extended XYZ file:
```
5
Lattice="4.645 0.000 0.000 0.000 4.645 0.000 0.000 0.000 4.645" Properties=species:S:1:pos:R:3 pbc="T T T"
Al 0.000 2.323 0.000
Al 2.323 0.000 0.000
Al 0.000 0.000 2.323
Mn 2.323 2.323 2.323
Rh 0.000 0.000 0.000
```

---

# ZnSi2Br

Crystalline ZnSi2Br at its relaxed geometry (PBE-GGA, Alexandria).

Values from the calculation:
DOS(E_F), states/eV/atom: 0.6175
SG: C2/m
Energy relative to the lowest polymorph listed for this composition, meV/atom: 190
Raw total energy, eV per atom: -3.193
Formation energy from raw total energies, eV per atom: 0.255

extended XYZ file:
```
4
Lattice="-2.844 5.596 -1.473 -5.396 2.679 -2.297 -1.144 -0.026 3.635" Properties=species:S:1:pos:R:3 pbc="T T T"
Zn -7.038 6.187 -0.101
Si -5.351 4.531 0.536
Si -8.724 7.842 -0.738
Br -2.346 2.062 -0.034
```

---

# Sc6Si2C

Crystalline Sc6Si2C at its relaxed geometry (PBE-GGA, Alexandria).

Values from the calculation:
DOS(E_F), states/eV/atom: 1.2720
SG: P4_2/mnm
Energy relative to the lowest polymorph listed for this composition, meV/atom: 206
Raw total energy, eV per atom: -6.766
Formation energy from raw total energies, eV per atom: -0.315

extended XYZ file:
```
18
Lattice="5.922 0.000 0.000 0.000 5.922 0.000 0.000 0.000 11.413" Properties=species:S:1:pos:R:3 pbc="T T T"
Sc 1.306 4.616 5.707
Sc 1.839 1.839 4.089
Sc 4.616 1.306 5.707
Sc 4.800 1.122 1.618
Sc 1.655 1.655 0.000
Sc 4.084 4.084 7.324
Sc 4.268 4.268 0.000
Sc 1.122 4.800 9.796
Sc 1.839 1.839 7.324
Sc 1.122 4.800 1.618
Sc 4.800 1.122 9.796
Sc 4.084 4.084 4.089
C 2.961 2.961 5.707
C 0.000 0.000 0.000
Si 2.961 2.961 1.952
Si 0.000 0.000 3.755
Si 2.961 2.961 9.461
Si 0.000 0.000 7.659
```

---

# Hf3CdMo

Crystalline Hf3CdMo at its relaxed geometry (PBE-GGA, Alexandria).

Values from the calculation:
DOS(E_F), states/eV/atom: 2.5179
SG: Pm-3m
Energy relative to the lowest polymorph listed for this composition, meV/atom: 1010
Raw total energy, eV per atom: -6.562
Energy of formation, eV per atom: 1.76

extended XYZ file:
```
5
Lattice="5.058 0.000 0.000 0.000 5.058 0.000 0.000 0.000 5.058" Properties=species:S:1:pos:R:3 pbc="T T T"
Hf 0.000 2.529 0.000
Hf 2.529 0.000 0.000
Hf 0.000 0.000 2.529
Cd 0.000 0.000 0.000
Mo 2.529 2.529 2.529
```

---

# YCr2Rh

Crystalline YCr2Rh at its relaxed geometry (PBE-GGA, Alexandria).

Values from the calculation:
DOS(E_F), states/eV/atom: 1.7814
SG: I-42d
Energy relative to the lowest polymorph listed for this composition, meV/atom: 429
Raw total energy, eV per atom: -7.771
Energy of formation, eV per atom: 0.49

extended XYZ file:
```
8
Lattice="7.504 0.000 0.000 0.000 7.504 0.000 3.752 3.752 2.808" Properties=species:S:1:pos:R:3 pbc="T T T"
Cr 9.380 9.814 2.106
Cr 6.062 1.876 0.702
Cr 5.628 5.194 2.106
Cr 1.442 5.628 0.702
Rh 0.000 0.000 0.000
Rh 7.504 3.752 1.404
Y 3.752 3.752 0.000
Y 3.752 7.504 1.404
```

---

# MnNbRu2

Crystalline MnNbRu2 at its relaxed geometry (PBE-GGA, Alexandria).

Values from the calculation:
DOS(E_F), states/eV/atom: 0.4881
SG: P4/mmm
Energy relative to the lowest polymorph listed for this composition, meV/atom: 0
Raw total energy, eV per atom: -9.616
Energy of formation, eV per atom: -0.17

extended XYZ file:
```
4
Lattice="-1.522 -0.238 -2.820 3.786 -0.457 -2.005 -0.253 -4.272 0.497" Properties=species:S:1:pos:R:3 pbc="T T T"
Nb 1.005 -2.484 -2.164
Mn -0.761 -0.119 -1.410
Ru -0.127 -2.136 0.248
Ru 1.893 -0.229 -1.002
```

---

# TaClF2

Crystalline TaClF2 at its relaxed geometry (PBE-GGA, Alexandria).

Values from the calculation:
DOS(E_F), states/eV/atom: 0.4260
SG: R-3m
Energy relative to the lowest polymorph listed for this composition, meV/atom: 48
Raw total energy, eV per atom: -5.743
Formation energy from raw total energies, eV per atom: -1.382

extended XYZ file:
```
4
Lattice="1.635 0.000 9.808 -0.818 1.416 9.808 -0.818 -1.416 9.808" Properties=species:S:1:pos:R:3 pbc="T T T"
Cl 0.000 0.000 0.000
F 0.000 0.000 3.389
F 0.000 0.000 26.034
Ta 0.000 0.000 14.712
```

---

Number 1 is which compound?
AlSe

---

Look up the DOS(E_F) of the fifth one.
2.5179 states/eV/atom

---

What did the seventh record say?
# MnNbRu2

Crystalline MnNbRu2 at its relaxed geometry (PBE-GGA, Alexandria).

Values from the calculation:
DOS(E_F), states/eV/atom: 0.4881
SG: P4/mmm
Energy relative to the lowest polymorph listed for this composition, meV/atom: 0
Raw total energy, eV per atom: -9.616
Energy of formation, eV per atom: -0.17

extended XYZ file:
```
4
Lattice="-1.522 -0.238 -2.820 3.786 -0.457 -2.005 -0.253 -4.272 0.497" Properties=species:S:1:pos:R:3 pbc="T T T"
Nb 1.005 -2.484 -2.164
Mn -0.761 -0.119 -1.410
Ru -0.127 -2.136 0.248
Ru 1.893 -0.229 -1.002
```